A plane-wave DFT calculation with PBE was carried out for a relaxed ZrAs2C crystal.

Output
Space group: P6_3/mmc (194)
Total magnetic moment, μB per atom: 0.00

a b c (Å): 3.162 3.162 14.326
angles (deg): 90.00 90.00 120.00
Fractional coordinates of all 8 atoms:
As 0.333 0.667 0.094
As 0.333 0.667 0.406
As 0.667 0.333 0.594
As 0.667 0.333 0.906
C 0.000 0.000 0.000
C 0.000 0.000 0.500
Zr 0.667 0.333 0.250
Zr 0.333 0.667 0.750


A plane-wave DFT calculation with PBE was carried out for a relaxed CdAs2 crystal.

Output
Space group: Fd-3m (227)

a b c (Å): 5.676 5.676 5.676
angles (deg): 60.00 60.00 60.00
Fractional coordinates of all 6 atoms:
As 0.625 0.625 0.125
As 0.625 0.125 0.625
As 0.125 0.625 0.625
As 0.625 0.625 0.625
Cd 0.000 0.000 0.000
Cd 0.250 0.250 0.250


A plane-wave DFT calculation with PBE was carried out for a relaxed Cd2As crystal.

Output
Space group: Fd-3m (227)

a b c (Å): 5.715 5.715 5.715
angles (deg): 60.00 60.00 60.00
Fractional coordinates of all 6 atoms:
As 0.000 0.000 0.000
As 0.250 0.250 0.250
Cd 0.625 0.625 0.125
Cd 0.625 0.125 0.625
Cd 0.125 0.625 0.625
Cd 0.625 0.625 0.625


no.,DFT total energy (eV per atom)
1,-6.13
2,-3.07
3,-1.82